1.
This record from the Alexandria database describes Ba2Ga3Hg5 after structural relaxation. The functional is PBE.

Unit cell a=4.797 b=4.797 c=11.981 alpha=90.00 beta=90.00 gamma=90.00
Fractional coordinates of all 10 atoms:
1 Hg 0.000 0.500 0.156
2 Ga 0.500 0.000 0.615
3 Ga 0.000 0.000 0.500
4 Ga 0.000 0.500 0.385
5 Hg 0.500 0.000 0.844
6 Hg 0.500 0.500 0.000
7 Hg 0.000 0.000 0.000
8 Hg 0.500 0.500 0.500
9 Ba 0.000 0.500 0.738
10 Ba 0.500 0.000 0.262

crystal system	tetragonal
space group	P-4m2, No. 115
total magnetization	0.00	μB/f.u.
energy of formation from the pure elements	-0.363	eV per atom

2.
This record from the Alexandria database describes BaGa2Hg after structural relaxation. The functional is PBE.

Unit cell a=4.606 b=4.606 c=6.708 alpha=69.92 beta=69.92 gamma=60.00
Fractional coordinates of all 4 atoms:
1 Ga 0.784 0.784 0.647
2 Hg 0.500 0.500 0.500
3 Ba 0.000 0.000 0.000
4 Ga 0.216 0.216 0.353

crystal system	trigonal
space group	R-3m, No. 166
total magnetization	0.00	μB/f.u.
energy of formation from the pure elements	-0.319	eV per atom

3.
This record from the Alexandria database describes Ba8GaHg2 after structural relaxation. The functional is PBE.

Unit cell a=6.001 b=8.324 c=10.998 alpha=106.92 beta=105.83 gamma=90.00
Fractional coordinates of all 11 atoms:
1 Ba 0.795 0.681 0.589
2 Ba 0.335 0.034 0.670
3 Ba 0.665 0.966 0.330
4 Ga 0.500 0.000 0.000
5 Hg 0.186 0.711 0.371
6 Ba 0.409 0.565 0.817
7 Ba 0.205 0.319 0.411
8 Ba 0.967 0.195 0.933
9 Ba 0.033 0.805 0.067
10 Ba 0.591 0.435 0.183
11 Hg 0.814 0.289 0.629

crystal system	monoclinic
space group	C2/m, No. 12
total magnetization	0.00	μB/f.u.
energy of formation from the pure elements	-0.234	eV per atom

4.
This record from the Alexandria database describes Ba2GaHg5 after structural relaxation. The functional is PBE.

Unit cell a=5.277 b=9.520 c=10.176 alpha=90.00 beta=90.00 gamma=106.09
Fractional coordinates of all 16 atoms:
1 Ga 0.436 0.872 0.750
2 Hg 0.357 0.714 0.973
3 Hg 0.187 0.373 0.601
4 Ba 0.789 0.579 0.750
5 Hg 0.417 0.835 0.250
6 Hg 0.187 0.373 0.899
7 Ga 0.564 0.128 0.250
8 Hg 0.813 0.627 0.101
9 Hg 0.357 0.714 0.527
10 Ba 0.000 0.000 0.500
11 Hg 0.813 0.627 0.399
12 Ba 0.000 0.000 0.000
13 Hg 0.643 0.286 0.027
14 Ba 0.211 0.421 0.250
15 Hg 0.643 0.286 0.473
16 Hg 0.583 0.165 0.750

crystal system	orthorhombic
space group	Cmcm, No. 63
total magnetization	0.00	μB/f.u.
energy of formation from the pure elements	-0.386	eV per atom

5.
This record from the Alexandria database describes Ba3GaHg3 after structural relaxation. The functional is PBE.

Unit cell a=4.667 b=6.728 c=17.184 alpha=84.53 beta=82.19 gamma=69.70
Fractional coordinates of all 14 atoms:
1 Ba 0.265 0.227 0.243
2 Ba 0.522 0.349 0.607
3 Hg 0.156 0.228 0.460
4 Hg 0.020 0.197 0.763
5 Ba 0.603 0.714 0.081
6 Ba 0.478 0.651 0.393
7 Ba 0.735 0.773 0.757
8 Ba 0.397 0.286 0.919
9 Hg 0.113 0.854 0.920
10 Hg 0.844 0.772 0.540
11 Hg 0.887 0.146 0.080
12 Ga 0.234 0.935 0.598
13 Ga 0.766 0.065 0.402
14 Hg 0.980 0.803 0.237

crystal system	monoclinic
space group	C2/m, No. 12
total magnetization	0.00	μB/f.u.
energy of formation from the pure elements	-0.459	eV per atom

6.
This record from the Alexandria database describes Ba7Ga2Hg2 after structural relaxation. The functional is PBE.

Unit cell a=7.756 b=8.729 c=7.756 alpha=89.97 beta=111.62 gamma=90.03
Fractional coordinates of all 11 atoms:
1 Ba 0.500 0.282 0.500
2 Ba 0.000 0.287 0.500
3 Ba 0.500 0.718 0.500
4 Ba 0.000 0.000 0.000
5 Hg 0.306 0.000 0.694
6 Ga 0.146 0.500 0.146
7 Hg 0.694 0.000 0.306
8 Ba 0.500 0.287 0.000
9 Ga 0.854 0.500 0.854
10 Ba 0.000 0.713 0.500
11 Ba 0.500 0.713 0.000

crystal system	orthorhombic
space group	Cmmm, No. 65
total magnetization	0.00	μB/f.u.
energy of formation from the pure elements	-0.182	eV per atom

7.
This record from the Alexandria database describes Ba8GaHg2 after structural relaxation. The functional is PBE.

Unit cell a=7.420 b=9.261 c=9.261 alpha=112.00 beta=101.20 gamma=101.20
Fractional coordinates of all 11 atoms:
1 Ba 0.799 0.653 0.653
2 Ba 0.357 0.662 0.929
3 Hg 0.488 0.325 0.695
4 Ba 0.357 0.929 0.662
5 Ba 0.584 0.343 0.081
6 Ga 0.201 0.004 0.004
7 Ba 0.980 0.196 0.795
8 Ba 0.584 0.081 0.343
9 Ba 0.181 0.352 0.352
10 Hg 0.488 0.695 0.325
11 Ba 0.980 0.795 0.196

crystal system	monoclinic
space group	Cm, No. 8
total magnetization	0.00	μB/f.u.
energy of formation from the pure elements	-0.193	eV per atom

8.
This record from the Alexandria database describes Ba2Ga2Hg after structural relaxation. The functional is PBE.

Unit cell a=6.514 b=6.514 c=6.286 alpha=58.79 beta=58.79 gamma=90.00
Fractional coordinates of all 5 atoms:
1 Ga 0.641 0.641 0.718
2 Ga 0.359 0.359 0.282
3 Ba 0.750 0.250 0.500
4 Hg 0.000 0.000 0.000
5 Ba 0.250 0.750 0.500

crystal system	tetragonal
space group	I4/mmm, No. 139
total magnetization	0.00	μB/f.u.
energy of formation from the pure elements	-0.230	eV per atom

9.
This record from the Alexandria database describes BaGa3Hg after structural relaxation. The functional is PBE.

Unit cell a=5.354 b=5.354 c=5.354 alpha=90.00 beta=90.00 gamma=90.00
Fractional coordinates of all 5 atoms:
1 Ga 0.500 0.000 0.000
2 Ga 0.000 0.500 0.000
3 Hg 0.000 0.000 0.000
4 Ba 0.500 0.500 0.500
5 Ga 0.000 0.000 0.500

crystal system	cubic
space group	Pm-3m, No. 221
total magnetization	0.00	μB/f.u.
energy of formation from the pure elements	0.079	eV per atom

10.
This record from the Alexandria database describes Ba3Ga2Hg9 after structural relaxation. The functional is PBE.

Unit cell a=5.410 b=9.400 c=9.400 alpha=63.70 beta=73.28 gamma=73.28
Fractional coordinates of all 14 atoms:
1 Ba 0.000 0.000 0.000
2 Hg 0.641 0.008 0.710
3 Hg 0.359 0.992 0.290
4 Ba 0.714 0.286 0.286
5 Ga 0.500 0.346 0.654
6 Hg 0.000 0.500 0.500
7 Ba 0.286 0.714 0.714
8 Hg 0.359 0.290 0.992
9 Hg 0.146 0.561 0.147
10 Hg 0.146 0.147 0.561
11 Ga 0.500 0.654 0.346
12 Hg 0.854 0.439 0.853
13 Hg 0.641 0.710 0.008
14 Hg 0.854 0.853 0.439

crystal system	orthorhombic
space group	Immm, No. 71
total magnetization	0.00	μB/f.u.
energy of formation from the pure elements	-0.348	eV per atom

11.
This record from the Alexandria database describes Ba2Ga3Hg after structural relaxation. The functional is PBE.

Unit cell a=5.126 b=4.524 c=8.000 alpha=90.00 beta=90.00 gamma=90.00
Fractional coordinates of all 6 atoms:
1 Ba 0.000 0.000 0.507
2 Ba 0.000 0.500 0.996
3 Ga 0.500 0.000 0.150
4 Ga 0.500 0.000 0.830
5 Ga 0.500 0.500 0.679
6 Hg 0.500 0.500 0.338

crystal system	orthorhombic
space group	Pmm2, No. 25
total magnetization	0.00	μB/f.u.
energy of formation from the pure elements	-0.442	eV per atom

12.
This record from the Alexandria database describes Ba8Ga2Hg after structural relaxation. The functional is PBE.

Unit cell a=5.917 b=8.231 c=11.018 alpha=106.28 beta=105.58 gamma=90.00
Fractional coordinates of all 11 atoms:
1 Ga 0.187 0.710 0.374
2 Ba 0.036 0.792 0.072
3 Ba 0.598 0.446 0.195
4 Ba 0.402 0.554 0.805
5 Ga 0.813 0.290 0.626
6 Ba 0.669 0.967 0.338
7 Ba 0.796 0.683 0.592
8 Hg 0.500 0.000 0.000
9 Ba 0.964 0.208 0.928
10 Ba 0.331 0.033 0.662
11 Ba 0.204 0.317 0.408

crystal system	monoclinic
space group	C2/m, No. 12
total magnetization	0.00	μB/f.u.
energy of formation from the pure elements	-0.220	eV per atom

13.
This record from the Alexandria database describes Ba3Ga3Hg8 after structural relaxation. The functional is PBE.

Unit cell a=5.267 b=9.583 c=9.339 alpha=61.94 beta=73.62 gamma=74.05
Fractional coordinates of all 14 atoms:
1 Hg 0.505 0.674 0.315
2 Hg 0.651 0.978 0.720
3 Ba 0.000 0.000 0.000
4 Ga 0.000 0.500 0.500
5 Hg 0.853 0.431 0.863
6 Hg 0.861 0.848 0.429
7 Ba 0.703 0.293 0.300
8 Ba 0.297 0.707 0.700
9 Ga 0.662 0.688 0.988
10 Ga 0.338 0.312 0.012
11 Hg 0.349 0.022 0.280
12 Hg 0.147 0.569 0.137
13 Hg 0.139 0.152 0.571
14 Hg 0.495 0.326 0.685

crystal system	monoclinic
space group	C2/m, No. 12
total magnetization	0.00	μB/f.u.
energy of formation from the pure elements	-0.362	eV per atom

14.
This record from the Alexandria database describes Ba2GaHg2 after structural relaxation. The functional is PBE.

Unit cell a=9.441 b=9.441 c=4.234 alpha=90.00 beta=90.00 gamma=90.00
Fractional coordinates of all 10 atoms:
1 Ba 0.165 0.335 0.000
2 Ba 0.835 0.665 0.000
3 Ba 0.665 0.165 0.000
4 Hg 0.631 0.869 0.500
5 Ga 0.000 0.000 0.000
6 Hg 0.869 0.369 0.500
7 Hg 0.131 0.631 0.500
8 Ga 0.500 0.500 0.000
9 Hg 0.369 0.131 0.500
10 Ba 0.335 0.835 0.000

crystal system	tetragonal
space group	P4/mbm, No. 127
total magnetization	0.00	μB/f.u.
energy of formation from the pure elements	-0.221	eV per atom

15.
This record from the Alexandria database describes BaGaHg4 after structural relaxation. The functional is PBE.

Unit cell a=4.887 b=7.567 c=9.454 alpha=90.00 beta=104.98 gamma=90.00
Fractional coordinates of all 12 atoms:
1 Hg 0.070 0.750 0.140
2 Hg 0.680 0.550 0.361
3 Hg 0.930 0.250 0.860
4 Hg 0.320 0.450 0.639
5 Hg 0.500 0.500 0.000
6 Hg 0.320 0.050 0.639
7 Ga 0.772 0.250 0.544
8 Hg 0.680 0.950 0.361
9 Hg 0.500 0.000 0.000
10 Ba 0.119 0.250 0.238
11 Ba 0.881 0.750 0.762
12 Ga 0.228 0.750 0.456

crystal system	orthorhombic
space group	Cmcm, No. 63
total magnetization	0.00	μB/f.u.
energy of formation from the pure elements	-0.282	eV per atom

16.
This record from the Alexandria database describes Ba2Ga2Hg after structural relaxation. The functional is PBE.

Unit cell a=9.609 b=9.609 c=4.030 alpha=90.00 beta=90.00 gamma=90.00
Fractional coordinates of all 10 atoms:
1 Hg 0.000 0.000 0.000
2 Ga 0.406 0.094 0.500
3 Ba 0.306 0.806 0.000
4 Ga 0.594 0.906 0.500
5 Ba 0.806 0.694 0.000
6 Ba 0.194 0.306 0.000
7 Ba 0.694 0.194 0.000
8 Hg 0.500 0.500 0.000
9 Ga 0.906 0.406 0.500
10 Ga 0.094 0.594 0.500

crystal system	tetragonal
space group	P4/mbm, No. 127
total magnetization	0.00	μB/f.u.
energy of formation from the pure elements	-0.216	eV per atom

17.
This record from the Alexandria database describes Ba2GaHg2 after structural relaxation. The functional is PBE.

Unit cell a=6.683 b=6.683 c=6.385 alpha=58.45 beta=58.45 gamma=90.00
Fractional coordinates of all 5 atoms:
1 Ba 0.250 0.750 0.500
2 Hg 0.665 0.665 0.669
3 Ga 0.000 0.000 0.000
4 Ba 0.750 0.250 0.500
5 Hg 0.335 0.335 0.331

crystal system	tetragonal
space group	I4/mmm, No. 139
total magnetization	0.00	μB/f.u.
energy of formation from the pure elements	-0.246	eV per atom

18.
This record from the Alexandria database describes Ba2Ga2Hg after structural relaxation. The functional is PBE.

Unit cell a=3.999 b=3.999 c=10.767 alpha=79.30 beta=79.30 gamma=90.00
Fractional coordinates of all 5 atoms:
1 Ga 0.750 0.250 0.500
2 Ga 0.250 0.750 0.500
3 Hg 0.000 0.000 0.000
4 Ba 0.395 0.395 0.211
5 Ba 0.605 0.605 0.789

crystal system	tetragonal
space group	I4/mmm, No. 139
total magnetization	0.00	μB/f.u.
energy of formation from the pure elements	-0.253	eV per atom

19.
This record from the Alexandria database describes Ba2GaHg2 after structural relaxation. The functional is PBE.

Unit cell a=8.888 b=8.888 c=4.487 alpha=90.00 beta=90.00 gamma=90.00
Fractional coordinates of all 10 atoms:
1 Hg 0.377 0.877 0.000
2 Ba 0.680 0.820 0.500
3 Ga 0.500 0.500 0.000
4 Ga 0.000 0.000 0.000
5 Hg 0.877 0.623 0.000
6 Ba 0.820 0.320 0.500
7 Ba 0.180 0.680 0.500
8 Ba 0.320 0.180 0.500
9 Hg 0.123 0.377 0.000
10 Hg 0.623 0.123 0.000

crystal system	tetragonal
space group	P4/mbm, No. 127
total magnetization	0.00	μB/f.u.
energy of formation from the pure elements	-0.339	eV per atom

20.
This record from the Alexandria database describes Ba3Ga2Hg4 after structural relaxation. The functional is PBE.

Unit cell a=5.080 b=6.668 c=9.741 alpha=108.24 beta=90.00 gamma=112.39
Fractional coordinates of all 9 atoms:
1 Ga 0.368 0.735 0.701
2 Hg 0.284 0.567 0.935
3 Ba 0.000 0.000 0.000
4 Ba 0.652 0.304 0.671
5 Hg 0.921 0.841 0.602
6 Hg 0.079 0.159 0.398
7 Ga 0.632 0.265 0.299
8 Ba 0.348 0.696 0.329
9 Hg 0.716 0.433 0.065

crystal system	monoclinic
space group	C2/m, No. 12
total magnetization	0.00	μB/f.u.
energy of formation from the pure elements	-0.459	eV per atom